(1)
A plane-wave DFT calculation with GGA-PBE was carried out for PaCd2CuO6 after structural relaxation.

It has space group C2 (No. 5), with a = 10.643 Å, b = 5.645 Å, c = 5.263 Å, α = 90.00°, β = 114.83° and γ = 90.00°. The distinct sites, in fractional coordinates, are Pa at (0.000, 0.000, 0.000), Cd at (0.248, 0.999, 0.682), Cu at (0.000, 0.500, 0.500), O at (0.082, 0.728, 0.361), O at (0.083, 0.271, 0.362) and O at (0.195, 0.001, 0.036).

Its formation energy (no corrections) is -1.74 eV per atom. The value obtained for the total energy is -6.260 eV/atom.

***

(2)
A plane-wave DFT calculation with GGA-PBE was carried out for ZrPaCoOs after structural relaxation.

It has space group F-43m (No. 216), with a = 6.651 Å, b = 6.651 Å, c = 6.651 Å, α = 90.00°, β = 90.00° and γ = 90.00°. The distinct sites, in fractional coordinates, are Zr at (0.000, 0.000, 0.000), Pa at (0.000, 0.000, 0.500), Co at (0.250, 0.250, 0.250) and Os at (0.250, 0.250, 0.750).

The energy relative to the elements comes out at -0.21 eV per atom. Its density of states at the Fermi level is 26.67 states/eV/cell. The value obtained for the total energy is -9.302 eV/atom.

***

no.,ρ (g/cm³),total magnetization (Bohr magnetons per cell)
1,7.12,0.0
2,12.90,0.0